Entry 1:
The following is a PBE-GGA calculation of a geometry-optimized AcBiIr structure, from Alexandria.

Structure (CIF):
```
data_AcBiIr
_cell_length_a 4.7466
_cell_length_b 4.7466
_cell_length_c 4.3587
_cell_angle_alpha 90.00
_cell_angle_beta 90.00
_cell_angle_gamma 120.00
_symmetry_space_group_name_H-M 'P -6 m 2'
_symmetry_Int_Tables_number 187
_symmetry_space_group_name_Hall 'P -6 2'
loop_
_atom_site_label
_atom_site_type_symbol
_atom_site_fract_x
_atom_site_fract_y
_atom_site_fract_z
Ac1 Ac 0.0000 0.0000 0.0000
Bi1 Bi 0.6667 0.3333 0.5000
Ir1 Ir 0.3333 0.6667 0.5000
```

Properties
Fermi-level density of states: 0.656 states/eV/atom
volume: 85 Å³/cell
total moment: 0.00 μB per cell
ΔH_f (0 K): -141 kJ/mol of formula units
energy relative to the lowest polymorph listed for this composition: 13 meV per atom
calculated total energy: -18.31 eV per formula unit

---

Entry 2:
The following is a PBE-GGA calculation of a geometry-optimized Ac2BiIr structure, from Alexandria.

Structure (CIF):
```
data_Ac2BiIr
_cell_length_a 3.5946
_cell_length_b 3.5946
_cell_length_c 34.8329
_cell_angle_alpha 90.00
_cell_angle_beta 90.00
_cell_angle_gamma 120.00
_symmetry_space_group_name_H-M 'R -3 m'
_symmetry_Int_Tables_number 166
_symmetry_space_group_name_Hall '-R 3 2"'
loop_
_atom_site_label
_atom_site_type_symbol
_atom_site_fract_x
_atom_site_fract_y
_atom_site_fract_z
Ac1 Ac 0.0000 0.0000 0.0781
Bi1 Bi 0.0000 0.0000 0.5000
Ir1 Ir 0.0000 0.0000 0.0000
```

Properties
Fermi-level density of states: 0.826 states/eV/atom
volume: 390 Å³/cell
total moment: 0.00 μB per cell
ΔH_f (0 K): 137 kJ/mol of formula units
energy relative to the lowest polymorph listed for this composition: 965 meV per atom
calculated total energy: -19.54 eV per formula unit

---

Entry 3:
The following is a PBE-GGA calculation of a geometry-optimized AcBi3Ir structure, from Alexandria.

Structure (CIF):
```
data_AcBi3Ir
_cell_length_a 7.152
_cell_length_b 6.434
_cell_length_c 6.623
_cell_angle_alpha 90.00
_cell_angle_beta 90.00
_cell_angle_gamma 90.00
_symmetry_space_group_name_H-M 'P m n 21'
_symmetry_Int_Tables_number 31
loop_
_symmetry_equiv_pos_as_xyz
'x,y,z'
'-x+1/2,-y,z+1/2'
'-x,y,z'
'x+1/2,-y,z+1/2'
loop_
_atom_site_label
_atom_site_type_symbol
_atom_site_fract_x
_atom_site_fract_y
_atom_site_fract_z
Ac1 Ac 0.000 0.151 0.000
Bi1 Bi 0.000 0.881 0.542
Bi2 Bi 0.239 0.329 0.449
Ir1 Ir 0.000 0.596 0.237
```

Properties
Fermi-level density of states: 0.453 states/eV/atom
volume: 305 Å³/cell
total moment: 0.00 μB per cell
ΔH_f (0 K): -158 kJ/mol of formula units
energy relative to the lowest polymorph listed for this composition: 0 meV per atom
calculated total energy: -26.25 eV per formula unit

---

Entry 4:
The following is a PBE-GGA calculation of a geometry-optimized Ac8BiIr4 structure, from Alexandria.

Structure (CIF):
```
data_Ac8BiIr4
_cell_length_a 15.317
_cell_length_b 8.847
_cell_length_c 10.882
_cell_angle_alpha 90.00
_cell_angle_beta 134.00
_cell_angle_gamma 90.00
_symmetry_space_group_name_H-M 'C 1 2/m 1'
_symmetry_Int_Tables_number 12
loop_
_symmetry_equiv_pos_as_xyz
'x,y,z'
'-x,-y,-z'
'-x,y,-z'
'x,-y,z'
'x+1/2,y+1/2,z'
'-x+1/2,-y+1/2,-z'
'-x+1/2,y+1/2,-z'
'x+1/2,-y+1/2,z'
loop_
_atom_site_label
_atom_site_type_symbol
_atom_site_fract_x
_atom_site_fract_y
_atom_site_fract_z
Ac1 Ac 0.015 0.000 0.197
Ac2 Ac 0.017 0.500 0.203
Ac3 Ac 0.235 0.251 0.799
Bi1 Bi 0.000 0.000 0.500
Ir1 Ir 0.000 0.255 0.000
Ir2 Ir 0.244 0.500 0.991
```

Properties
Fermi-level density of states: 0.773 states/eV/atom
volume: 1061 Å³/cell
total moment: 0.00 μB per cell
ΔH_f (0 K): -762 kJ/mol of formula units
calculated total energy: -80.09 eV per formula unit

---

Entry 5:
The following is a PBE-GGA calculation of a geometry-optimized Ac4Bi2Ir structure, from Alexandria.

Structure (CIF):
```
data_Ac4Bi2Ir
_cell_length_a 5.623
_cell_length_b 5.623
_cell_length_c 17.967
_cell_angle_alpha 90.00
_cell_angle_beta 90.00
_cell_angle_gamma 90.00
_symmetry_space_group_name_H-M 'I 4/m m m'
_symmetry_Int_Tables_number 139
_symmetry_space_group_name_Hall '-I 4 2'
loop_
_atom_site_label
_atom_site_type_symbol
_atom_site_fract_x
_atom_site_fract_y
_atom_site_fract_z
Ac1 Ac 0.000 0.000 0.171
Ac2 Ac 0.000 0.500 0.000
Bi1 Bi 0.000 0.000 0.362
Ir1 Ir 0.000 0.000 0.000
```

Properties
Fermi-level density of states: 0.930 states/eV/atom
volume: 568 Å³/cell
total moment: 0.00 μB per cell
ΔH_f (0 K): -440 kJ/mol of formula units
calculated total energy: -37.62 eV per formula unit

---

Entry 6:
The following is a PBE-GGA calculation of a geometry-optimized Ac4BiIr structure, from Alexandria.

Structure (CIF):
```
data_Ac4BiIr
_cell_length_a 7.144
_cell_length_b 8.103
_cell_length_c 9.208
_cell_angle_alpha 74.33
_cell_angle_beta 67.35
_cell_angle_gamma 89.83
_symmetry_space_group_name_H-M 'P -1'
_symmetry_Int_Tables_number 2
loop_
_symmetry_equiv_pos_as_xyz
'x,y,z'
'-x,-y,-z'
loop_
_atom_site_label
_atom_site_type_symbol
_atom_site_fract_x
_atom_site_fract_y
_atom_site_fract_z
Ac1 Ac 0.006 0.451 0.319
Ac2 Ac 0.181 0.950 0.321
Ac3 Ac 0.250 0.849 0.853
Ac4 Ac 0.396 0.349 0.852
Bi1 Bi 0.351 0.249 0.501
Ir1 Ir 0.000 0.500 0.000
Ir2 Ir 0.500 0.000 0.000
```

Properties
Fermi-level density of states: 0.857 states/eV/atom
volume: 471 Å³/cell
total moment: 0.00 μB per cell
ΔH_f (0 K): -298 kJ/mol of formula units
calculated total energy: -32.26 eV per formula unit

---

Entry 7:
The following is a PBE-GGA calculation of a geometry-optimized AcBiIr structure, from Alexandria.

Structure (CIF):
```
data_AcBiIr
_cell_length_a 7.084
_cell_length_b 7.084
_cell_length_c 7.084
_cell_angle_alpha 90.00
_cell_angle_beta 90.00
_cell_angle_gamma 90.00
_symmetry_space_group_name_H-M 'F -4 3 m'
_symmetry_Int_Tables_number 216
_symmetry_space_group_name_Hall 'F -4 2 3'
loop_
_atom_site_label
_atom_site_type_symbol
_atom_site_fract_x
_atom_site_fract_y
_atom_site_fract_z
Ac1 Ac 0.000 0.000 0.000
Bi1 Bi 0.000 0.000 0.500
Ir1 Ir 0.250 0.250 0.750
```

Properties
Fermi-level density of states: 1.930 states/eV/atom
volume: 355 Å³/cell
total moment: 0.00 μB per cell
ΔH_f (0 K): -133 kJ/mol of formula units
energy relative to the lowest polymorph listed for this composition: 41 meV per atom
calculated total energy: -18.23 eV per formula unit

---

Entry 8:
The following is a PBE-GGA calculation of a geometry-optimized Ac2BiIr structure, from Alexandria.

Structure (CIF):
```
data_Ac2BiIr
_cell_length_a 6.604
_cell_length_b 6.629
_cell_length_c 14.383
_cell_angle_alpha 90.00
_cell_angle_beta 116.16
_cell_angle_gamma 90.00
_symmetry_space_group_name_H-M 'P 1 2/c 1'
_symmetry_Int_Tables_number 13
loop_
_symmetry_equiv_pos_as_xyz
'x,y,z'
'-x,-y,-z'
'-x,y,-z+1/2'
'x,-y,z+1/2'
loop_
_atom_site_label
_atom_site_type_symbol
_atom_site_fract_x
_atom_site_fract_y
_atom_site_fract_z
Ac1 Ac 0.103 0.227 0.106
Ac2 Ac 0.332 0.234 0.855
Bi1 Bi 0.380 0.266 0.375
Ir1 Ir 0.119 0.233 0.625
```

Properties
Fermi-level density of states: 0.273 states/eV/atom
volume: 565 Å³/cell
total moment: 0.00 μB per cell
ΔH_f (0 K): -228 kJ/mol of formula units
energy relative to the lowest polymorph listed for this composition: 20 meV per atom
calculated total energy: -23.32 eV per formula unit

---

> The highest ΔH_f (0 K) belongs to which entry?

number 2